Computed, not measured: crystalline Ti8AlV2 at its relaxed geometry at the PBE level of DFT.

ΔE_f (eV/atom): 0.046

a b c (Å): 7.3807 7.3807 5.0124
angles (deg): 98.20 98.20 42.69
Sites, in units of the cell vectors:
Ti 0.0923 0.0923 0.0917
Ti 0.1505 0.6480 0.4008
Ti 0.2876 0.2876 0.8798
Ti 0.3520 0.8495 0.5992
Ti 0.6480 0.1505 0.4008
Ti 0.7124 0.7124 0.1202
Ti 0.8495 0.3520 0.5992
Ti 0.9077 0.9077 0.9083
Al 0.5000 0.5000 0.0000
V 0.2383 0.2383 0.3710
V 0.7617 0.7617 0.6290

***

Computed, not measured: crystalline Tm3Ga4Ni4 at its relaxed geometry at the PBE level of DFT.

ΔE_f (eV/atom): -0.579

a b c (Å): 3.5753 4.2044 12.8643
angles (deg): 99.33 97.91 90.02
Sites, in units of the cell vectors:
Tm 0.0000 0.0000 0.0000
Tm 0.1472 0.6479 0.2930
Tm 0.8528 0.3521 0.7070
Ga 0.3063 0.8059 0.6138
Ga 0.4475 0.4491 0.8976
Ga 0.5525 0.5509 0.1024
Ga 0.6937 0.1941 0.3862
Ni 0.2559 0.2556 0.5124
Ni 0.4021 0.9040 0.8065
Ni 0.5979 0.0960 0.1935
Ni 0.7441 0.7444 0.4876

***

Computed, not measured: crystalline Ac2Pr3Dy4 at its relaxed geometry at the PBE level of DFT.

ΔE_f (eV/atom): 0.088
Excess energy over the best structure of this formula in the dataset (kJ/mol of atoms): 4.6

a b c (Å): 3.7173 3.7173 27.3745
angles (deg): 90.00 90.00 120.00
Sites, in units of the cell vectors:
Ac 0.0000 0.0000 0.0000
Ac 0.0000 0.0000 0.2340
Pr 0.0000 0.0000 0.7830
Pr 0.3333 0.6667 0.1197
Pr 0.3333 0.6667 0.4671
Dy 0.0000 0.0000 0.3633
Dy 0.0000 0.0000 0.5756
Dy 0.3333 0.6667 0.6760
Dy 0.3333 0.6667 0.8891

***

Computed, not measured: crystalline Tb2CeNdTm at its relaxed geometry at the PBE level of DFT.

ΔE_f (eV/atom): 0.280

a b c (Å): 5.8863 7.7684 7.1842
angles (deg): 90.00 90.00 90.00
Sites, in units of the cell vectors:
Tb 0.2500 0.2100 0.1792
Tb 0.2500 0.7900 0.1792
Tb 0.7500 0.2100 0.8208
Tb 0.7500 0.7900 0.8208
Ce 0.0000 0.5000 0.5000
Ce 0.5000 0.5000 0.5000
Nd 0.2500 0.0000 0.6632
Nd 0.7500 0.0000 0.3368
Tm 0.2500 0.5000 0.8885
Tm 0.7500 0.5000 0.1115

***

Computed, not measured: crystalline NdScGa2Pt2 at its relaxed geometry at the PBE level of DFT.

ΔE_f (eV/atom): -1.057

a b c (Å): 4.4507 4.4507 6.8684
angles (deg): 90.00 90.00 120.00
Sites, in units of the cell vectors:
Nd 0.0000 0.0000 0.0000
Sc 0.0000 0.0000 0.5000
Ga 0.3333 0.6667 0.2936
Ga 0.6667 0.3333 0.7064
Pt 0.3333 0.6667 0.7102
Pt 0.6667 0.3333 0.2898

***

Computed, not measured: crystalline Rb2UTe2Se2 at its relaxed geometry at the PBE level of DFT.

Formation energy from raw total energies (eV/f.u.): -6.49

a b c (Å): 18.6885 4.0402 7.6093
angles (deg): 90.00 113.93 90.00
Sites, in units of the cell vectors:
Rb 0.1439 0.0000 0.1431
Rb 0.3561 0.5000 0.8569
Rb 0.6439 0.5000 0.1431
Rb 0.8561 0.0000 0.8569
U 0.0000 0.0000 0.5000
U 0.5000 0.5000 0.5000
Te 0.1710 0.0000 0.6700
Te 0.3290 0.5000 0.3300
Te 0.6710 0.5000 0.6700
Te 0.8290 0.0000 0.3300
Se 0.0000 0.5000 0.2515
Se 0.0000 0.5000 0.7485
Se 0.5000 0.0000 0.2515
Se 0.5000 0.0000 0.7485

***

| no. | spin magnetization (μB per formula unit) | VASP energy (Ry/atom) |
| --- | --- | --- |
| 1 | 0.002 | -0.5655 |
| 2 | 0.000 | -0.3676 |
| 3 | 0.006 | -0.3281 |
| 4 | 1.617 | -0.3386 |
| 5 | 0.000 | -0.4358 |
| 6 | 0.532 | -0.3461 |